This record from Alexandria via LeMat-Bulk describes a geometry-optimized W3O8 structure. The functional is PBE+U.

Properties
E: -7.480 eV/atom

a = 5.860 Å, b = 5.051 Å, c = 10.841 Å
α = 62.71°, β = 90.00°, γ = 90.00°
Each line ends with the local moment (μB).
Atoms (fractional coordinates):
W 0.655 0.500 0.750  1.85
W 0.830 0.758 0.007  0.10
W 0.170 0.242 0.993  0.10
W 0.345 0.500 0.250  1.85
W 0.170 0.758 0.507  0.10
W 0.830 0.242 0.493  0.10
O 0.890 0.476 0.605  -0.01
O 0.654 0.046 0.870  -0.01
O 0.396 0.511 0.619  -0.01
O 0.654 0.954 0.630  -0.01
O 0.346 0.046 0.370  -0.01
O 0.890 0.524 0.895  -0.01
O 0.895 0.958 0.109  0.00
O 0.105 0.958 0.609  0.00
O 0.604 0.511 0.119  -0.01
O 0.110 0.476 0.105  -0.01
O 0.396 0.489 0.881  -0.01
O 0.105 0.042 0.891  0.00
O 0.110 0.524 0.395  -0.01
O 0.895 0.042 0.391  0.00
O 0.346 0.954 0.130  -0.01
O 0.604 0.489 0.381  -0.01